Record 1
Computed, not measured: an optimized crystal structure of Cs3KCr at the GGA-PBE level of DFT.

abc: 7.6306 7.6306 7.6306
angles: 90.00 90.00 90.00
Positions (direct):
Cs: 0.0000 0.0000 0.5000
Cs: 0.0000 0.5000 0.0000
Cs: 0.5000 0.0000 0.0000
K: 0.5000 0.5000 0.5000
Cr: 0.0000 0.0000 0.0000

Magnetic moment (Bohr magnetons per cell): 5.84
Volume (Å³ per cell): 444.30
Uncorrected energy (eV per atom): -2.114


Record 2
Computed, not measured: an optimized crystal structure of Cs2KMnCr at the GGA-PBE level of DFT.

abc: 7.2250 7.2250 6.7390
angles: 90.00 90.00 90.00
Positions (direct):
Cs: 0.0000 0.5000 0.0000
Cs: 0.5000 0.0000 0.0000
K: 0.0000 0.0000 0.5000
Mn: 0.5000 0.5000 0.5000
Cr: 0.0000 0.0000 0.0000

Magnetic moment (Bohr magnetons per cell): 10.58
Volume (Å³ per cell): 351.78
Uncorrected energy (eV per atom): -3.148


Q: The highest magnetic moment belongs to which entry?
A: Cs2KMnCr


Please write out number 1 again, unchanged.
Computed, not measured: an optimized crystal structure of Cs3KCr at the GGA-PBE level of DFT.

abc: 7.6306 7.6306 7.6306
angles: 90.00 90.00 90.00
Positions (direct):
Cs: 0.0000 0.0000 0.5000
Cs: 0.0000 0.5000 0.0000
Cs: 0.5000 0.0000 0.0000
K: 0.5000 0.5000 0.5000
Cr: 0.0000 0.0000 0.0000

Magnetic moment (Bohr magnetons per cell): 5.84
Volume (Å³ per cell): 444.30
Uncorrected energy (eV per atom): -2.114


Q: The highest uncorrected energy belongs to which entry?
A: Cs3KCr


Q: What is the volume in the second record?
A: 351.78 Å³ per cell